No. 1
CrTc2Ir PBE relaxed; calculated volume = 55.69 Å³ per cell; E above lowest polymorph = 0 meV per atom; energy = -0.7243 Ry per atom; E_form = -0.20 eV/f.u.
1.0
-3.511 -0.075 1.447
1.123 -2.538 2.593
0.930 2.871 2.407
Cr Ir Tc
1 1 2
direct
0.500 0.000 0.500
0.000 0.500 0.500
0.000 0.000 0.000
0.500 0.500 0.000

No. 2
LiY2Au2 PBE relaxed; calculated volume = 243.51 Å³ per cell; E above lowest polymorph = 155 meV per atom; energy = -0.3537 Ry per atom; E_form = -2.66 eV/f.u.
1.0
-5.023 -0.453 -6.674
0.564 -8.345 0.142
-2.773 -0.152 2.097
Y Au Li
4 4 2
direct
0.346 0.846 0.000
0.846 0.654 0.000
0.654 0.154 0.000
0.154 0.346 0.000
0.141 0.641 0.500
0.641 0.859 0.500
0.859 0.359 0.500
0.359 0.141 0.500
0.000 0.000 0.000
0.500 0.500 0.000

No. 3
Pr6PRu2I3 PBE relaxed; calculated volume = 378.38 Å³ per cell; formation energy from raw total energies = -0.859 eV/atom; energy = -0.4140 Ry per atom
1.0
7.364 0.002 -0.004
-3.678 6.380 -0.004
-1.233 -2.136 8.055
Pr P Ru I
6 1 2 3
direct
0.939 0.595 0.813
0.718 0.718 0.186
0.061 0.405 0.187
0.595 0.939 0.813
0.282 0.282 0.814
0.405 0.061 0.187
0.000 0.000 0.000
0.333 0.667 0.000
0.667 0.333 0.000
0.165 0.835 0.500
0.835 0.165 0.500
0.500 0.500 0.500

No. 4
Dy2ErSe2S2 PBE relaxed; calculated volume = 182.50 Å³ per cell; formation energy from raw total energies = -1.499 eV/atom; energy = -0.4145 Ry per atom
1.0
5.030 0.000 0.000
0.000 5.030 0.000
-2.515 -2.515 7.214
Dy Er Se S
2 1 2 2
direct
0.380 0.380 0.761
0.620 0.620 0.239
0.000 0.000 0.000
0.190 0.190 0.380
0.810 0.810 0.620
0.000 0.500 0.000
0.500 0.000 0.000